! NbSb2Br2 (GGA-PBE, relaxed); values from VASP
! VASP energy, eV per atom: -4.10
! Energy above the most stable polymorph in this dataset, meV/atom: 0
! Raw formation energy, eV/atom: 0.2363
&SYSTEM
  ibrav = 0, nat = 10, ntyp = 3
/
ATOMIC_SPECIES
Sb 121.76 Sb.upf
Br 79.90 Br.upf
Nb 92.91 Nb.upf
CELL_PARAMETERS angstrom
7.4245 0.0000 0.0000
0.0000 7.4245 0.0000
0.0000 0.0000 5.6603
ATOMIC_POSITIONS crystal
Sb 0.1419 0.3581 0.0000
Sb 0.6419 0.1419 0.0000
Sb 0.8581 0.6419 0.0000
Sb 0.3581 0.8581 0.0000
Br 0.8088 0.6912 0.5000
Br 0.1912 0.3088 0.5000
Br 0.6912 0.1912 0.5000
Br 0.3088 0.8088 0.5000
Nb 0.0000 0.0000 0.0000
Nb 0.5000 0.5000 0.0000